Entry from the Alexandria database: MnGaH4O2F5 after structural relaxation (PBE with a Hubbard U).

CIF file:
```
data_MnGaH4O2F5
_chemical_formula_sum 'Mn2 Ga2 H8 O4 F10'
_cell_length_a 7.4616
_cell_length_b 7.4616
_cell_length_c 7.4616
_cell_angle_alpha 118.49
_cell_angle_beta 85.30
_cell_angle_gamma 127.23
_space_group_name_H-M_alt 'P 1'
_space_group_IT_number 1
loop_
_space_group_symop_operation_xyz
'x,y,z'
loop_
_atom_site_label
_atom_site_type_symbol
_atom_site_fract_x
_atom_site_fract_y
_atom_site_fract_z
Mn1 Mn 0.0000 0.0000 0.0000
Mn2 Mn 0.5000 0.0000 0.5000
Ga1 Ga 0.5000 0.0000 0.0000
Ga2 Ga 0.5000 0.5000 0.5000
H1 H 0.0212 0.5128 0.3024
H2 H 0.0212 0.7188 0.5084
H3 H 0.2896 0.2812 0.8024
H4 H 0.2896 0.4872 0.0084
H5 H 0.7104 0.5128 0.9916
H6 H 0.7104 0.7188 0.1976
H7 H 0.9788 0.2812 0.4916
H8 H 0.9788 0.4872 0.6976
O1 O 0.1243 0.6981 0.4262
O2 O 0.2281 0.3019 0.9262
O3 O 0.7719 0.6981 0.0738
O4 O 0.8757 0.3019 0.5738
F1 F 0.1776 0.2663 0.3416
F2 F 0.1776 0.8360 0.9113
F3 F 0.4247 0.2663 0.5887
F4 F 0.4247 0.8360 0.1584
F5 F 0.4346 0.6846 0.7500
F6 F 0.5654 0.3154 0.2500
F7 F 0.5753 0.1640 0.8416
F8 F 0.5753 0.7337 0.4113
F9 F 0.8224 0.1640 0.0887
F10 F 0.8224 0.7337 0.6584
```

Computed properties:
* raw total energy: -5.248 eV per atom